The following is a DFT calculation (meta-GGA SCAN) of a PBEsol-optimized structure of KAlTcAg2.

POSCAR file:
```
KAlTcAg2
1.0
4.9721 0.0000 0.0000
0.0000 4.9721 0.0000
0.0000 0.0000 5.2454
Al Tc K Ag
1 1 1 2
direct
0.0000 0.0000 0.5000 Al
0.5000 0.5000 0.5000 Tc
0.0000 0.0000 0.0000 K
0.0000 0.5000 0.0000 Ag
0.5000 0.0000 0.0000 Ag
```

Output
- ρ: 4.86 Mg/m³
- SG: P4/mmm (123)
- DFT formation energy: 2.08 eV/atom
- DFT total energy: -20.692 eV per atom